# 1
# CrSb2W | Alexandria | PBE-GGA | optimized geometry
# Polymorph energy (0 for the lowest one): 0.1326 eV per atom
# Mass density: 10.23 g/cm3
# Total DFT energy (no corrections): -7.35 eV/atom
# Formation energy without anion corrections: 359 meV/atom
data_CrSb2W
_space_group_name_H-M_alt 'A m m 2'
_space_group_IT_number 38
_space_group_name_Hall 'A 2 -2'
_cell_length_a 4.360
_cell_length_b 3.619
_cell_length_c 9.867
_cell_angle_alpha 90.00
_cell_angle_beta 90.00
_cell_angle_gamma 90.00
loop_
_atom_site_label
_atom_site_type_symbol
_atom_site_fract_x
_atom_site_fract_y
_atom_site_fract_z
Cr1 Cr 0.000 0.000 0.000
Sb1 Sb 0.000 0.000 0.284
Sb2 Sb 0.500 0.000 0.575
W1 W 0.500 0.000 0.863

# 2
# Pm3Sm2Bi3 | Alexandria | PBE-GGA | optimized geometry
# Formation enthalpy at 0 K: -0.766 eV/atom
# Mass density: 9.00 g/cm3
# Total DFT energy (no corrections): -5.18 eV/atom
data_Pm3Sm2Bi3
_space_group_name_H-M_alt 'P 63/m c m'
_space_group_IT_number 193
_space_group_name_Hall '-P 6c 2'
_cell_length_a 9.4223
_cell_length_b 9.4223
_cell_length_c 6.5390
_cell_angle_alpha 90.00
_cell_angle_beta 90.00
_cell_angle_gamma 120.00
loop_
_atom_site_label
_atom_site_type_symbol
_atom_site_fract_x
_atom_site_fract_y
_atom_site_fract_z
Pm1 Pm 0.0000 0.2460 0.2500
Sm1 Sm 0.3333 0.6667 0.0000
Bi1 Bi 0.0000 0.3888 0.7500

# 3
# SmPuOsPt | Alexandria | PBE-GGA | optimized geometry
# Formation enthalpy at 0 K: -0.361 eV/atom
# Mass density: 15.34 g/cm3
# Total DFT energy (no corrections): -9.44 eV/atom
data_SmPuOsPt
_space_group_name_H-M_alt 'F -4 3 m'
_space_group_IT_number 216
_space_group_name_Hall 'F -4 2 3'
_cell_length_a 6.964
_cell_length_b 6.964
_cell_length_c 6.964
_cell_angle_alpha 90.00
_cell_angle_beta 90.00
_cell_angle_gamma 90.00
loop_
_atom_site_label
_atom_site_type_symbol
_atom_site_fract_x
_atom_site_fract_y
_atom_site_fract_z
Sm1 Sm 0.000 0.000 0.000
Pu1 Pu 0.000 0.000 0.500
Os1 Os 0.250 0.250 0.750
Pt1 Pt 0.250 0.250 0.250

# 4
# TaInNi2 | Alexandria | PBE-GGA | optimized geometry
# Formation enthalpy at 0 K: 0.398 eV/atom
# Mass density: 10.24 g/cm3
# Total DFT energy (no corrections): -6.14 eV/atom
data_TaInNi2
_space_group_name_H-M_alt 'I -4 2 d'
_space_group_IT_number 122
_space_group_name_Hall 'I -4 2bw'
_cell_length_a 6.907
_cell_length_b 6.907
_cell_length_c 5.614
_cell_angle_alpha 90.00
_cell_angle_beta 90.00
_cell_angle_gamma 90.00
loop_
_atom_site_label
_atom_site_type_symbol
_atom_site_fract_x
_atom_site_fract_y
_atom_site_fract_z
Ta1 Ta 0.000 0.000 0.000
In1 In 0.000 0.000 0.500
Ni1 Ni 0.229 0.250 0.125

# 5
# Nd3Th4Te8 | Alexandria | PBE-GGA | optimized geometry
# Mass density: 7.91 g/cm3
# Total DFT energy (no corrections): -5.84 eV/atom
# Formation energy without anion corrections: -1235 meV/atom
data_Nd3Th4Te8
_space_group_name_H-M_alt 'C 1 2/m 1'
_space_group_IT_number 12
_space_group_name_Hall '-C 2y'
_cell_length_a 12.586
_cell_length_b 12.599
_cell_length_c 8.853
_cell_angle_alpha 90.00
_cell_angle_beta 134.55
_cell_angle_gamma 90.00
loop_
_atom_site_label
_atom_site_type_symbol
_atom_site_fract_x
_atom_site_fract_y
_atom_site_fract_z
Nd1 Nd 0.000 0.000 0.000
Nd2 Nd 0.250 0.250 0.000
Th1 Th 0.000 0.500 0.000
Th2 Th 0.000 0.500 0.500
Th3 Th 0.250 0.250 0.500
Te1 Te 0.000 0.241 0.500
Te2 Te 0.000 0.249 0.000
Te3 Te 0.239 0.000 0.500
Te4 Te 0.243 0.000 0.985

# 6
# Sc3Al2Zn2 | Alexandria | PBE-GGA | optimized geometry
# Formation enthalpy at 0 K: -0.362 eV/atom
# Mass density: 4.09 g/cm3
# Total DFT energy (no corrections): -4.51 eV/atom
data_Sc3Al2Zn2
_space_group_name_H-M_alt 'C 1 2/m 1'
_space_group_IT_number 12
_space_group_name_Hall '-C 2y'
_cell_length_a 9.639
_cell_length_b 4.522
_cell_length_c 5.978
_cell_angle_alpha 90.00
_cell_angle_beta 94.97
_cell_angle_gamma 90.00
loop_
_atom_site_label
_atom_site_type_symbol
_atom_site_fract_x
_atom_site_fract_y
_atom_site_fract_z
Sc1 Sc 0.000 0.000 0.000
Sc2 Sc 0.120 0.500 0.707
Al1 Al 0.186 0.500 0.200
Zn1 Zn 0.117 0.000 0.437

# 7
# NdEr3Mg | Alexandria | PBE-GGA | optimized geometry
# Polymorph energy (0 for the lowest one): 0.0000 eV per atom
# Formation enthalpy at 0 K: -0.013 eV/atom
# Mass density: 7.38 g/cm3
# Total DFT energy (no corrections): -4.02 eV/atom
data_NdEr3Mg
_space_group_name_H-M_alt 'P -1'
_space_group_IT_number 2
_space_group_name_Hall '-P 1'
_cell_length_a 3.662
_cell_length_b 6.720
_cell_length_c 12.766
_cell_angle_alpha 86.67
_cell_angle_beta 89.97
_cell_angle_gamma 74.19
loop_
_atom_site_label
_atom_site_type_symbol
_atom_site_fract_x
_atom_site_fract_y
_atom_site_fract_z
Nd1 Nd 0.235 0.030 0.260
Er1 Er 0.035 0.430 0.687
Er2 Er 0.151 0.199 0.941
Er3 Er 0.367 0.767 0.522
Mg1 Mg 0.445 0.611 0.878

# 8
# AcTl2Br5 | Alexandria | PBE-GGA | optimized geometry
# Mass density: 5.98 g/cm3
# Total DFT energy (no corrections): -3.63 eV/atom
# Formation energy without anion corrections: -1476 meV/atom
data_AcTl2Br5
_space_group_name_H-M_alt 'P n m a'
_space_group_IT_number 62
_space_group_name_Hall '-P 2ac 2n'
_cell_length_a 13.760
_cell_length_b 9.545
_cell_length_c 8.754
_cell_angle_alpha 90.00
_cell_angle_beta 90.00
_cell_angle_gamma 90.00
loop_
_atom_site_label
_atom_site_type_symbol
_atom_site_fract_x
_atom_site_fract_y
_atom_site_fract_z
Ac1 Ac 0.006 0.250 0.080
Tl1 Tl 0.174 0.002 0.542
Br1 Br 0.006 0.250 0.435
Br2 Br 0.083 0.545 0.167
Br3 Br 0.185 0.250 0.869
Br4 Br 0.212 0.750 0.829